{"formula": "SiWNO2", "functional": "GGA+U", "state": "optimized geometry", "lattice": [[-2.479, -0.206, 2.362], [0.340, -3.413, 0.058], [2.847, 0.335, 3.018]], "species": ["Si", "O", "O", "W", "N"], "fractional_positions": [[0.000, 0.000, 0.000], [0.000, 0.500, 0.000], [0.500, 0.000, 0.000], [0.500, 0.500, 0.500], [0.000, 0.000, 0.500]], "final_energy_ev_per_atom": -7.0463}